VASP calculation (PBE with a Hubbard U) on TlCoO3 after structural relaxation.

Values from the calculation:
The symmetry is No. 221. As for the density of states at the Fermi level: 4.40 states/eV/f.u. The energy comes out at -4.90 eV per atom. The crystal system is cubic.

Lattice parameters (Å, degrees): 3.7819 3.7819 3.7819 90.00 90.00 90.00
Atoms (fractional coordinates):
Tl: 0.0000 0.0000 0.0000
Co: 0.5000 0.5000 0.5000
O: 0.0000 0.5000 0.5000
O: 0.5000 0.0000 0.5000
O: 0.5000 0.5000 0.0000